Compound: BaV2SeO8
Source: the Alexandria database
Functional: GGA+U
Structure: relaxed

Results
Energy relative to the lowest polymorph listed for this composition in meV/atom: 0
V in Å³ per cell: 722.23
Crystal system: orthorhombic
E_tot in Ry per atom: -0.503

Unit cell a=14.432 b=5.449 c=9.184 alpha=90.00 beta=90.00 gamma=90.00
Space group Pnma (No. 62)
One atom of each set of equivalent atoms:
Ba: 0.080 0.250 0.206 (multiplicity 4)
V: 0.163 0.750 0.539 (multiplicity 4)
V: 0.212 0.750 0.944 (multiplicity 4)
Se: 0.104 0.250 0.786 (multiplicity 4)
O: 0.011 0.750 0.234 (multiplicity 4)
O: 0.051 0.750 0.584 (multiplicity 4)
O: 0.113 0.005 0.913 (multiplicity 8)
O: 0.193 0.014 0.430 (multiplicity 8)
O: 0.194 0.750 0.119 (multiplicity 4)
O: 0.225 0.750 0.697 (multiplicity 4)